No. 1
{
  "formula": "TaGa2Ir2",
  "functional": "PBE",
  "state": "optimized geometry",
  "m_tot_mub_per_atom": 0.000,
  "final_energy_ev_per_cell": -74.40,
  "relative_energy_mev_per_atom": 117.1,
  "lattice": [[7.357, 0.000, 0.000], [0.000, 7.357, 0.000], [0.000, 0.000, 2.828]],
  "species": ["Ta", "Ta", "Ga", "Ga", "Ga", "Ga", "Ir", "Ir", "Ir", "Ir"],
  "frac_coords": [[0.000, 0.000, 0.000], [0.500, 0.500, 0.000], [0.126, 0.374, 0.000], [0.374, 0.874, 0.000], [0.626, 0.126, 0.000], [0.874, 0.626, 0.000], [0.173, 0.673, 0.500], [0.327, 0.173, 0.500], [0.673, 0.827, 0.500], [0.827, 0.327, 0.500]]
}


No. 2
{
  "formula": "LaNd3Y",
  "functional": "PBE",
  "state": "optimized geometry",
  "m_tot_mub_per_atom": 0.000,
  "final_energy_ev_per_cell": -51.10,
  "relative_energy_mev_per_atom": 0.0,
  "lattice": [[11.308, -1.854, 0.000], [11.308, 1.854, 0.000], [-2.341, 0.000, 8.435]],
  "species": ["La", "La", "Nd", "Nd", "Nd", "Nd", "Nd", "Nd", "Y", "Y"],
  "frac_coords": [[0.085, 0.085, 0.089], [0.915, 0.915, 0.911], [0.118, 0.118, 0.519], [0.315, 0.315, 0.116], [0.483, 0.483, 0.285], [0.517, 0.517, 0.715], [0.685, 0.685, 0.884], [0.882, 0.882, 0.481], [0.282, 0.282, 0.678], [0.718, 0.718, 0.322]]
}


No. 3
{
  "formula": "Ac12Pr3Sm",
  "functional": "PBE",
  "state": "optimized geometry",
  "m_tot_mub_per_atom": 0.000,
  "final_energy_ev_per_cell": -68.03,
  "lattice": [[5.545, 0.000, 0.000], [0.000, 5.545, 0.000], [0.000, 0.000, 22.115]],
  "species": ["Ac", "Ac", "Ac", "Ac", "Ac", "Ac", "Ac", "Ac", "Ac", "Ac", "Ac", "Ac", "Pr", "Pr", "Pr", "Sm"],
  "frac_coords": [[0.000, 0.000, 0.000], [0.000, 0.000, 0.249], [0.000, 0.000, 0.500], [0.000, 0.000, 0.751], [0.000, 0.500, 0.124], [0.000, 0.500, 0.374], [0.000, 0.500, 0.626], [0.000, 0.500, 0.876], [0.500, 0.000, 0.124], [0.500, 0.000, 0.374], [0.500, 0.000, 0.626], [0.500, 0.000, 0.876], [0.500, 0.500, 0.249], [0.500, 0.500, 0.500], [0.500, 0.500, 0.751], [0.500, 0.500, 0.000]]
}


No. 4
{
  "formula": "LiMgRh2",
  "functional": "PBE",
  "state": "optimized geometry",
  "m_tot_mub_per_atom": 0.000,
  "final_energy_ev_per_cell": -19.23,
  "lattice": [[2.881, 0.000, 0.000], [0.000, 4.534, 0.000], [0.000, 0.000, 4.416]],
  "species": ["Li", "Mg", "Rh", "Rh"],
  "frac_coords": [[0.000, 0.000, 0.000], [0.500, 0.500, 0.887], [0.000, 0.500, 0.386], [0.500, 0.000, 0.489]]
}


No. 5
{
  "formula": "LaSm4Y10",
  "functional": "PBE",
  "state": "optimized geometry",
  "m_tot_mub_per_atom": 0.000,
  "final_energy_ev_per_cell": -81.39,
  "lattice": [[-4.968, 4.968, 5.371], [4.968, -4.968, 5.371], [4.968, 4.968, -5.371]],
  "species": ["La", "Sm", "Sm", "Sm", "Sm", "Y", "Y", "Y", "Y", "Y", "Y", "Y", "Y", "Y", "Y"],
  "frac_coords": [[0.000, 0.000, 0.000], [0.221, 0.549, 0.770], [0.451, 0.221, 0.673], [0.549, 0.779, 0.327], [0.779, 0.451, 0.230], [0.045, 0.705, 0.090], [0.045, 0.955, 0.661], [0.250, 0.750, 0.500], [0.295, 0.385, 0.339], [0.385, 0.045, 0.090], [0.615, 0.955, 0.910], [0.705, 0.615, 0.661], [0.750, 0.250, 0.500], [0.955, 0.045, 0.339], [0.955, 0.295, 0.910]]
}


No. 6
{
  "formula": "Pr3Si2Ag4",
  "functional": "PBE",
  "state": "optimized geometry",
  "m_tot_mub_per_atom": 0.000,
  "final_energy_ev_per_cell": -40.23,
  "raw_formation_energy_ev_per_fu": -3.64,
  "lattice": [[5.600, -2.268, 0.000], [5.600, 2.268, 0.000], [-3.108, 0.000, 8.354]],
  "species": ["Pr", "Pr", "Pr", "Si", "Si", "Ag", "Ag", "Ag", "Ag"],
  "frac_coords": [[0.000, 0.000, 0.000], [0.330, 0.330, 0.343], [0.670, 0.670, 0.657], [0.394, 0.394, 0.722], [0.606, 0.606, 0.278], [0.052, 0.052, 0.379], [0.286, 0.286, 0.938], [0.714, 0.714, 0.062], [0.948, 0.948, 0.621]]
}


No. 7
{
  "formula": "Sr2ZrFe",
  "functional": "PBE",
  "state": "optimized geometry",
  "m_tot_mub_per_atom": 0.142,
  "final_energy_ev_per_cell": -17.08,
  "relative_energy_mev_per_atom": 528.3,
  "lattice": [[0.000, 3.818, 3.818], [3.818, 0.000, 3.818], [3.818, 3.818, 0.000]],
  "species": ["Sr", "Sr", "Zr", "Fe"],
  "frac_coords": [[0.000, 0.000, 0.000], [0.250, 0.250, 0.250], [0.750, 0.750, 0.750], [0.500, 0.500, 0.500]]
}


No. 8
{
  "formula": "ThNpIr2",
  "functional": "PBE",
  "state": "optimized geometry",
  "m_tot_mub_per_atom": 0.762,
  "final_energy_ev_per_cell": -40.36,
  "relative_energy_mev_per_atom": 0.0,
  "lattice": [[2.053, 1.185, 6.386], [-2.053, 1.185, 6.386], [0.000, -2.371, 6.386]],
  "species": ["Th", "Np", "Ir", "Ir"],
  "frac_coords": [[0.000, 0.000, 0.000], [0.500, 0.500, 0.500], [0.242, 0.242, 0.242], [0.758, 0.758, 0.758]]
}


No. 9
{
  "formula": "LaCu2Pt2",
  "functional": "PBE",
  "state": "optimized geometry",
  "m_tot_mub_per_atom": 0.000,
  "final_energy_ev_per_cell": -56.32,
  "relative_energy_mev_per_atom": 1.3,
  "lattice": [[-2.055, 2.055, 11.029], [2.055, -2.055, 11.029], [2.055, 2.055, -11.029]],
  "species": ["La", "La", "Cu", "Cu", "Cu", "Cu", "Pt", "Pt", "Pt", "Pt"],
  "frac_coords": [[0.128, 0.128, 0.000], [0.872, 0.872, 0.000], [0.000, 0.500, 0.500], [0.320, 0.320, 0.000], [0.500, 0.000, 0.500], [0.680, 0.680, 0.000], [0.250, 0.750, 0.500], [0.431, 0.431, 0.000], [0.569, 0.569, 0.000], [0.750, 0.250, 0.500]]
}


No. 10
{
  "formula": "ZrHg2Pb",
  "functional": "PBE",
  "state": "optimized geometry",
  "m_tot_mub_per_atom": 0.000,
  "final_energy_ev_per_cell": -12.69,
  "lattice": [[3.597, 0.000, 0.000], [0.000, 3.597, 0.000], [0.000, 0.000, 7.568]],
  "species": ["Zr", "Hg", "Hg", "Pb"],
  "frac_coords": [[0.000, 0.000, 0.000], [0.000, 0.000, 0.453], [0.500, 0.500, 0.217], [0.500, 0.500, 0.730]]
}


No. 11
{
  "formula": "DyNiS2",
  "functional": "PBE",
  "state": "optimized geometry",
  "m_tot_mub_per_atom": 0.250,
  "final_energy_ev_per_cell": -22.84,
  "raw_formation_energy_ev_per_fu": -4.20,
  "lattice": [[2.034, 1.175, 7.085], [-2.034, 1.175, 7.085], [0.000, -2.349, 7.085]],
  "species": ["Dy", "Ni", "S", "S"],
  "frac_coords": [[0.000, 0.000, 0.000], [0.500, 0.500, 0.500], [0.400, 0.400, 0.400], [0.600, 0.600, 0.600]]
}


No. 12
{
  "formula": "Hg3H2Au",
  "functional": "PBE",
  "state": "optimized geometry",
  "m_tot_mub_per_atom": 0.000,
  "final_energy_ev_per_cell": -9.39,
  "lattice": [[3.036, 0.000, 0.000], [1.495, 5.949, 0.000], [0.787, 2.350, 6.143]],
  "species": ["Hg", "Hg", "Hg", "H", "H", "Au"],
  "frac_coords": [[0.000, 0.000, 0.000], [0.009, 0.695, 0.606], [0.991, 0.305, 0.394], [0.015, 0.870, 0.295], [0.985, 0.130, 0.705], [0.500, 0.500, 0.000]]
}


No. 13
{
  "formula": "MgNi2",
  "functional": "PBE",
  "state": "optimized geometry",
  "m_tot_mub_per_atom": 0.126,
  "final_energy_ev_per_cell": -26.35,
  "lattice": [[4.752, -1.377, 0.000], [4.752, 1.377, 0.000], [-1.549, 0.000, 5.905]],
  "species": ["Mg", "Mg", "Ni", "Ni", "Ni", "Ni"],
  "frac_coords": [[0.000, 0.000, 0.000], [0.690, 0.690, 0.370], [0.048, 0.048, 0.609], [0.340, 0.340, 0.684], [0.397, 0.397, 0.284], [0.721, 0.721, 0.933]]
}


No. 14
{
  "formula": "PmCuBi2",
  "functional": "PBE",
  "state": "optimized geometry",
  "m_tot_mub_per_atom": 0.000,
  "final_energy_ev_per_cell": -36.91,
  "relative_energy_mev_per_atom": 0.0,
  "lattice": [[4.579, 0.000, 0.000], [0.000, 4.579, 0.000], [0.000, 0.000, 9.882]],
  "species": ["Pm", "Pm", "Cu", "Cu", "Bi", "Bi", "Bi", "Bi"],
  "frac_coords": [[0.250, 0.250, 0.235], [0.750, 0.750, 0.765], [0.250, 0.750, 0.000], [0.750, 0.250, 0.000], [0.250, 0.250, 0.838], [0.250, 0.750, 0.500], [0.750, 0.250, 0.500], [0.750, 0.750, 0.162]]
}


No. 15
{
  "formula": "NbGeP2Pb",
  "functional": "PBE",
  "state": "optimized geometry",
  "m_tot_mub_per_atom": 0.000,
  "final_energy_ev_per_cell": -24.53,
  "lattice": [[4.725, 0.000, 0.000], [0.000, 4.725, 0.000], [0.000, 0.000, 5.040]],
  "species": ["Nb", "Ge", "P", "P", "Pb"],
  "frac_coords": [[0.000, 0.000, 0.000], [0.000, 0.000, 0.500], [0.000, 0.500, 0.500], [0.500, 0.000, 0.500], [0.500, 0.500, 0.000]]
}


No. 16
{
  "formula": "TcBrF2",
  "functional": "PBE",
  "state": "optimized geometry",
  "m_tot_mub_per_atom": 1.000,
  "final_energy_ev_per_cell": -16.72,
  "raw_formation_energy_ev_per_fu": -0.94,
  "relative_energy_mev_per_atom": 562.7,
  "lattice": [[0.000, 3.089, 3.089], [3.089, 0.000, 3.089], [3.089, 3.089, 0.000]],
  "species": ["Tc", "Br", "F", "F"],
  "frac_coords": [[0.000, 0.000, 0.000], [0.500, 0.500, 0.500], [0.250, 0.250, 0.250], [0.750, 0.750, 0.750]]
}


No. 17
{
  "formula": "Ce4As2P",
  "functional": "PBE",
  "state": "optimized geometry",
  "m_tot_mub_per_atom": 0.602,
  "final_energy_ev_per_cell": -92.41,
  "lattice": [[7.622, 0.000, 0.000], [0.000, 11.870, 0.000], [0.000, 0.000, 4.247]],
  "species": ["Ce", "Ce", "Ce", "Ce", "Ce", "Ce", "Ce", "Ce", "As", "As", "As", "As", "P", "P"],
  "frac_coords": [[0.125, 0.216, 0.000], [0.240, 0.944, 0.500], [0.260, 0.444, 0.500], [0.375, 0.716, 0.000], [0.625, 0.284, 0.000], [0.740, 0.556, 0.500], [0.760, 0.056, 0.500], [0.875, 0.784, 0.000], [0.104, 0.686, 0.500], [0.396, 0.186, 0.500], [0.604, 0.814, 0.500], [0.896, 0.314, 0.500], [0.000, 0.000, 0.000], [0.500, 0.500, 0.000]]
}


No. 18
{
  "formula": "Ac2CdSn6",
  "functional": "PBE",
  "state": "optimized geometry",
  "m_tot_mub_per_atom": 0.000,
  "final_energy_ev_per_cell": -74.03,
  "lattice": [[4.734, -4.873, 0.000], [4.734, 4.873, 0.000], [-2.451, 0.000, 11.992]],
  "species": ["Ac", "Ac", "Ac", "Ac", "Cd", "Cd", "Sn", "Sn", "Sn", "Sn", "Sn", "Sn", "Sn", "Sn", "Sn", "Sn", "Sn", "Sn"],
  "frac_coords": [[0.158, 0.664, 0.661], [0.336, 0.842, 0.339], [0.664, 0.158, 0.661], [0.842, 0.336, 0.339], [0.195, 0.195, 0.790], [0.805, 0.805, 0.210], [0.062, 0.500, 0.118], [0.066, 0.066, 0.117], [0.151, 0.151, 0.555], [0.366, 0.366, 0.405], [0.496, 0.496, 0.118], [0.500, 0.062, 0.118], [0.500, 0.938, 0.882], [0.504, 0.504, 0.882], [0.634, 0.634, 0.595], [0.849, 0.849, 0.445], [0.934, 0.934, 0.883], [0.938, 0.500, 0.882]]
}


No. 19
{
  "formula": "PrSmHo2Tm",
  "functional": "PBE",
  "state": "optimized geometry",
  "m_tot_mub_per_atom": 0.001,
  "final_energy_ev_per_cell": -42.39,
  "lattice": [[4.206, -5.755, 0.000], [4.206, 5.755, 0.000], [0.000, 0.000, 7.184]],
  "species": ["Pr", "Pr", "Sm", "Sm", "Ho", "Ho", "Ho", "Ho", "Tm", "Tm"],
  "frac_coords": [[0.230, 0.770, 0.750], [0.770, 0.230, 0.250], [0.499, 0.501, 0.250], [0.501, 0.499, 0.750], [0.187, 0.187, 0.000], [0.187, 0.187, 0.500], [0.813, 0.813, 0.000], [0.813, 0.813, 0.500], [0.219, 0.781, 0.250], [0.781, 0.219, 0.750]]
}


No. 20
{
  "formula": "LaSm2Ag2Hg2",
  "functional": "PBE",
  "state": "optimized geometry",
  "m_tot_mub_per_atom": 0.000,
  "final_energy_ev_per_cell": -22.59,
  "lattice": [[2.465, 1.423, 9.017], [-2.465, 1.423, 9.017], [0.000, -2.846, 9.017]],
  "species": ["La", "Sm", "Sm", "Ag", "Ag", "Hg", "Hg"],
  "frac_coords": [[0.000, 0.000, 0.000], [0.125, 0.125, 0.125], [0.875, 0.875, 0.875], [0.405, 0.405, 0.405], [0.595, 0.595, 0.595], [0.257, 0.257, 0.257], [0.743, 0.743, 0.743]]
}


No. 21
{
  "formula": "TlGaBiSe3",
  "functional": "PBE",
  "state": "optimized geometry",
  "m_tot_mub_per_atom": 0.000,
  "final_energy_ev_per_cell": -44.18,
  "raw_formation_energy_ev_per_fu": -2.36,
  "lattice": [[8.669, 0.000, 0.000], [0.000, 4.633, 0.000], [-1.853, 0.000, 9.355]],
  "species": ["Tl", "Tl", "Ga", "Ga", "Bi", "Bi", "Se", "Se", "Se", "Se", "Se", "Se"],
  "frac_coords": [[0.182, 0.250, 0.219], [0.818, 0.750, 0.781], [0.108, 0.250, 0.593], [0.892, 0.750, 0.407], [0.341, 0.750, 0.863], [0.659, 0.250, 0.137], [0.116, 0.250, 0.857], [0.193, 0.750, 0.521], [0.433, 0.750, 0.158], [0.567, 0.250, 0.842], [0.807, 0.250, 0.479], [0.884, 0.750, 0.143]]
}


No. 22
{
  "formula": "Y2TaBr",
  "functional": "PBE",
  "state": "optimized geometry",
  "m_tot_mub_per_atom": 0.256,
  "final_energy_ev_per_cell": -24.82,
  "raw_formation_energy_ev_per_fu": 1.63,
  "relative_energy_mev_per_atom": 688.0,
  "lattice": [[0.000, 3.702, 3.702], [3.702, 0.000, 3.702], [3.702, 3.702, 0.000]],
  "species": ["Y", "Y", "Ta", "Br"],
  "frac_coords": [[0.250, 0.250, 0.250], [0.750, 0.750, 0.750], [0.000, 0.000, 0.000], [0.500, 0.500, 0.500]]
}


No. 23
{
  "formula": "UNb2TcC4",
  "functional": "PBE",
  "state": "optimized geometry",
  "m_tot_mub_per_atom": 0.131,
  "final_energy_ev_per_cell": -159.81,
  "lattice": [[1.602, -5.690, 0.000], [1.602, 5.690, 0.000], [0.000, 0.000, 11.102]],
  "species": ["U", "U", "Nb", "Nb", "Nb", "Nb", "Tc", "Tc", "C", "C", "C", "C", "C", "C", "C", "C"],
  "frac_coords": [[0.112, 0.888, 0.750], [0.888, 0.112, 0.250], [0.372, 0.628, 0.539], [0.372, 0.628, 0.961], [0.628, 0.372, 0.039], [0.628, 0.372, 0.461], [0.151, 0.849, 0.250], [0.849, 0.151, 0.750], [0.000, 0.000, 0.000], [0.000, 0.000, 0.500], [0.269, 0.731, 0.119], [0.269, 0.731, 0.381], [0.456, 0.544, 0.750], [0.544, 0.456, 0.250], [0.731, 0.269, 0.619], [0.731, 0.269, 0.881]]
}


No. 24
{
  "formula": "SrCa2InRu",
  "functional": "PBE",
  "state": "optimized geometry",
  "m_tot_mub_per_atom": 0.000,
  "final_energy_ev_per_cell": -17.83,
  "lattice": [[5.448, 0.000, 0.000], [0.000, 5.448, 0.000], [0.000, 0.000, 5.396]],
  "species": ["Sr", "Ca", "Ca", "In", "Ru"],
  "frac_coords": [[0.000, 0.000, 0.000], [0.000, 0.500, 0.500], [0.500, 0.000, 0.500], [0.500, 0.500, 0.000], [0.500, 0.500, 0.500]]
}